1.
Computed, not measured: an optimized crystal structure of CaPtW at the GGA-PBE level of DFT.

```
CaPtW
1.0
-4.331 1.180 0.338
-3.610 -4.305 -1.261
-2.181 -0.923 5.248
W Ca Pt
2 2 2
Cartesian
-7.446 -1.853 2.317 W
-2.645 -0.976 0.807 W
-5.638 -4.292 4.014 Ca
-4.714 -0.631 3.071 Ca
-7.197 -1.696 4.937 Pt
-5.586 -3.264 1.108 Pt
```

Space-group type: Imm2
Formation enthalpy at 0 K: -0.10 eV per atom
N(E_F): 0.627 states/eV per atom


2.
Computed, not measured: an optimized crystal structure of LiNpAg2O6 at the GGA-PBE level of DFT.

```
LiNpAg2O6
1.0
5.525 -0.321 -0.364
-3.050 5.162 0.109
-2.990 -1.594 5.363
O Ag Np Li
6 2 1 1
Cartesian
0.505 1.667 3.675 O
-2.142 -0.202 3.674 O
1.768 0.334 0.746 O
-0.962 1.668 0.545 O
-1.980 2.964 3.635 O
1.908 3.649 0.796 O
-0.227 3.394 1.612 Ag
-0.264 -0.002 4.659 Ag
-0.457 3.250 4.779 Np
2.252 1.184 2.739 Li
```

Raw formation energy: -1.40 eV/atom
Space-group type: P1
N(E_F): 0.076 states/eV per atom


3.
Computed, not measured: an optimized crystal structure of Ag4TeSO4 at the GGA-PBE level of DFT.

```
Ag4TeSO4
1.0
-0.207 -7.204 -5.237
-3.593 -4.726 6.643
-8.150 2.266 -2.796
Ag O Te S
16 16 4 4
Cartesian
-7.327 -4.042 -2.084 Ag
-5.271 -6.689 -1.355 Ag
-9.194 -5.907 -3.481 Ag
-9.761 -5.887 1.261 Ag
-1.253 -2.052 1.325 Ag
-6.900 -5.037 1.171 Ag
-2.733 0.005 -0.255 Ag
-11.842 -9.578 -1.377 Ag
-8.459 -4.766 3.703 Ag
-4.079 -9.405 -1.703 Ag
-5.914 -1.232 1.792 Ag
-2.004 -5.923 0.784 Ag
-4.139 -2.597 -3.979 Ag
-6.907 -9.122 -0.789 Ag
-8.839 -3.118 -4.487 Ag
-0.976 -1.967 -1.647 Ag
-3.823 -9.719 2.593 O
-4.922 -3.688 -1.951 O
-9.911 -1.890 -0.358 O
-5.325 -6.874 -5.130 O
-3.162 -7.384 2.345 O
-8.979 -3.255 1.461 O
-6.849 -5.016 -4.614 O
-10.491 -1.383 1.957 O
-4.542 -4.573 -5.337 O
-5.624 -3.146 0.321 O
-3.316 -2.682 -0.386 O
-4.756 -8.376 0.759 O
-4.082 -4.996 -0.071 O
-8.237 -0.935 1.138 O
-5.418 -7.940 3.086 O
-6.162 -5.458 -6.932 O
-5.682 -4.410 3.681 Te
-8.033 -6.496 -0.934 Te
-2.752 -7.123 -2.639 Te
-7.433 -1.299 -2.887 Te
-4.301 -8.355 2.160 S
-5.747 -5.469 -5.481 S
-4.457 -3.605 -0.518 S
-9.394 -1.900 1.060 S
```

Raw formation energy: -0.65 eV/atom
Space-group type: P2_13


4.
Computed, not measured: an optimized crystal structure of Ti2CrHg at the GGA-PBE level of DFT.

```
Ti2CrHg
1.0
-2.972 0.965 -0.162
-0.865 -2.350 1.876
0.976 3.901 5.337
Ti Cr Hg
2 1 1
Cartesian
0.774 3.091 4.228 Ti
0.203 0.811 1.109 Ti
-1.919 -0.692 0.857 Cr
-1.431 1.258 3.526 Hg
```

Space-group type: P4/mmm
Formation enthalpy at 0 K: -0.06 eV per atom
N(E_F): 0.979 states/eV per atom


5.
Computed, not measured: an optimized crystal structure of Sc3TlZn2 at the GGA-PBE level of DFT.

```
Sc3TlZn2
1.0
3.387 0.000 0.000
0.000 3.387 0.000
0.000 0.000 10.604
Tl Zn Sc
1 2 3
Cartesian
1.693 1.693 5.302 Tl
1.693 1.693 9.008 Zn
1.693 1.693 1.597 Zn
0.000 0.000 7.312 Sc
0.000 0.000 3.292 Sc
0.000 0.000 0.000 Sc
```

Space-group type: P4/mmm
Formation enthalpy at 0 K: -0.34 eV per atom
N(E_F): 0.932 states/eV per atom


6.
Computed, not measured: an optimized crystal structure of NaOs3F at the GGA-PBE level of DFT.

```
NaOs3F
1.0
-0.915 -0.417 -4.495
0.847 -4.521 0.247
-4.434 -0.778 0.975
Os F Na
3 1 1
Cartesian
-0.458 -0.208 -2.248 Os
0.424 -2.260 0.123 Os
-2.217 -0.389 0.487 Os
-2.251 -2.858 -1.637 F
0.000 0.000 0.000 Na
```

Raw formation energy: 3.32 eV/atom
Space-group type: Pm-3m
Energy relative to the lowest polymorph listed for this composition: 1.4546 eV/atom
N(E_F): 0.633 states/eV per atom


7.
Computed, not measured: an optimized crystal structure of Al3Sb5 at the GGA-PBE level of DFT.

```
Al3Sb5
1.0
8.376 0.000 0.000
-4.188 7.254 0.000
0.000 0.000 6.415
Sb Al
10 6
Cartesian
4.188 2.418 0.000 Sb
0.919 1.592 4.811 Sb
3.269 5.662 1.604 Sb
4.188 2.418 3.208 Sb
0.000 4.836 0.000 Sb
-0.919 1.592 1.604 Sb
1.838 0.000 1.604 Sb
0.000 4.836 3.208 Sb
6.538 0.000 4.811 Sb
-3.269 5.662 4.811 Sb
-1.752 3.035 4.811 Al
-2.436 4.219 1.604 Al
1.752 3.035 1.604 Al
2.436 4.219 4.811 Al
3.505 0.000 4.811 Al
4.871 0.000 1.604 Al
```

Raw formation energy: 0.28 eV/atom
Space-group type: P6_3/mcm
Energy relative to the lowest polymorph listed for this composition: 0.1763 eV/atom
N(E_F): 0.754 states/eV per atom


8.
Computed, not measured: an optimized crystal structure of PaIn2Rh at the GGA-PBE level of DFT.

```
PaIn2Rh
1.0
3.543 -0.011 0.000
-1.754 5.671 0.000
0.000 0.000 8.960
In Pa Rh
4 2 2
Cartesian
1.777 1.637 0.505 In
0.011 4.023 8.455 In
1.777 1.637 3.975 In
0.011 4.023 4.985 In
0.003 0.578 6.720 Pa
1.786 5.082 2.240 Pa
1.777 2.560 6.720 Rh
0.011 3.100 2.240 Rh
```

Space-group type: Cmcm
Energy relative to the lowest polymorph listed for this composition: 0.0000 eV/atom
Formation enthalpy at 0 K: -0.36 eV per atom
N(E_F): 0.944 states/eV per atom


9.
Computed, not measured: an optimized crystal structure of NpCl2F5 at the GGA-PBE level of DFT.

```
NpCl2F5
1.0
0.087 -2.984 -5.560
5.542 -3.045 0.902
-5.541 -0.284 4.694
Np F Cl
1 5 2
Cartesian
0.240 -5.436 -0.107 Np
1.005 -3.050 -4.076 F
4.270 -3.191 -0.265 F
4.224 -5.060 -3.520 F
1.723 -4.831 -1.340 F
-4.503 -1.118 3.869 F
1.162 -3.522 1.207 Cl
-0.923 -3.599 -1.336 Cl
```

Raw formation energy: -2.24 eV/atom
Space-group type: P1
Energy relative to the lowest polymorph listed for this composition: 0.1962 eV/atom


10.
Computed, not measured: an optimized crystal structure of Pu6ReRu5 at the GGA-PBE level of DFT.

```
Pu6ReRu5
1.0
4.652 -0.299 0.756
-0.014 6.308 2.573
1.070 0.310 8.204
Ru Pu Re
5 6 1
Cartesian
1.905 2.046 3.839 Ru
3.803 4.274 7.693 Ru
1.909 5.309 5.089 Ru
3.798 1.011 6.443 Ru
-0.007 3.154 1.286 Ru
4.225 3.519 4.879 Pu
1.483 2.801 6.653 Pu
4.236 0.392 3.571 Pu
1.471 5.928 7.962 Pu
2.305 4.539 2.349 Pu
3.402 1.782 9.183 Pu
0.000 0.000 0.000 Re
```

Space-group type: P-1
Formation enthalpy at 0 K: 0.02 eV per atom
N(E_F): 3.308 states/eV per atom


11.
Computed, not measured: an optimized crystal structure of Pr3PaTl4Se8 at the GGA-PBE level of DFT.

```
Pr3PaTl4Se8
1.0
-5.754 -1.297 -6.267
0.105 -9.084 1.783
-1.843 5.336 6.497
Tl Se Pr Pa
4 8 3 1
Cartesian
-2.877 -0.648 -3.134 Tl
0.000 0.000 0.000 Tl
-0.922 2.668 3.249 Tl
-3.799 2.020 0.115 Tl
-1.449 -2.846 -0.927 Se
-2.106 -4.292 2.822 Se
-2.441 -0.140 2.270 Se
-5.386 -0.752 -0.808 Se
-3.061 -1.527 6.189 Se
-5.051 -4.905 -0.257 Se
-6.043 -2.199 2.941 Se
-4.431 -3.518 -4.176 Se
-2.825 -5.190 -2.242 Pr
-0.869 -1.874 4.140 Pr
-3.746 -2.522 1.007 Pr
0.052 -4.542 0.892 Pa
```

Raw formation energy: -1.26 eV/atom
Space-group type: R-3m
N(E_F): 0.566 states/eV per atom


12.
Computed, not measured: an optimized crystal structure of Tl2ZnOs at the GGA-PBE level of DFT.

```
Tl2ZnOs
1.0
9.196 -0.020 -0.012
8.639 3.153 -0.012
8.639 1.517 2.764
Tl Zn Os
2 1 1
Cartesian
13.161 2.312 1.362 Tl
0.076 0.013 0.008 Tl
6.619 1.163 0.685 Zn
19.856 3.488 2.055 Os
```

Space-group type: R-3m
Energy relative to the lowest polymorph listed for this composition: 0.2426 eV/atom
Formation enthalpy at 0 K: 0.77 eV per atom
N(E_F): 0.887 states/eV per atom


13.
Computed, not measured: an optimized crystal structure of DyUSeS2 at the GGA-PBE level of DFT.

```
DyUSeS2
1.0
-2.994 2.603 1.732
-1.684 -3.363 2.142
6.362 1.613 3.162
S Dy U Se
2 1 1 1
Cartesian
1.168 -1.065 3.620 S
0.514 1.918 3.415 S
0.613 0.525 5.679 Dy
1.045 0.320 1.324 U
-2.310 -0.371 1.974 Se
```

Raw formation energy: -1.21 eV/atom
Space-group type: I4mm
N(E_F): 2.009 states/eV per atom


14.
Computed, not measured: an optimized crystal structure of Sm3Cd7 at the GGA-PBE level of DFT.

```
Sm3Cd7
1.0
-2.565 1.936 3.776
-4.041 -5.169 -0.095
8.113 -1.843 3.201
Cd Sm
7 3
Cartesian
4.965 -1.594 4.190 Cd
-1.270 -1.130 2.972 Cd
-0.035 -3.255 4.901 Cd
-3.458 -3.482 2.692 Cd
2.777 -3.946 3.910 Cd
-2.021 -2.584 -0.047 Cd
1.543 -1.821 1.982 Cd
0.000 0.000 0.000 Sm
1.825 -0.690 4.850 Sm
-0.318 -4.385 2.033 Sm
```

Space-group type: C2/m
Formation enthalpy at 0 K: -0.28 eV per atom
N(E_F): 0.664 states/eV per atom


15.
Computed, not measured: an optimized crystal structure of PuUNi2 at the GGA-PBE level of DFT.

```
PuUNi2
1.0
3.487 0.000 0.000
0.000 3.487 0.000
0.000 0.000 6.007
Pu Ni U
1 2 1
Cartesian
1.744 1.744 3.003 Pu
0.000 0.000 4.701 Ni
0.000 0.000 1.306 Ni
1.744 1.744 0.000 U
```

Space-group type: P4/mmm
Formation enthalpy at 0 K: 0.00 eV per atom
N(E_F): 2.596 states/eV per atom


16.
Computed, not measured: an optimized crystal structure of HgMo2Pt at the GGA-PBE level of DFT.

```
HgMo2Pt
1.0
2.791 0.065 0.000
-0.609 2.725 0.000
0.000 0.000 8.916
Mo Pt Hg
2 1 1
Cartesian
0.000 0.000 0.138 Mo
1.091 1.395 2.302 Mo
0.000 0.000 4.277 Pt
1.091 1.395 6.658 Hg
```

Space-group type: Cmm2
Energy relative to the lowest polymorph listed for this composition: 0.0011 eV/atom
Formation enthalpy at 0 K: 0.16 eV per atom
N(E_F): 0.769 states/eV per atom


17.
Computed, not measured: an optimized crystal structure of InBr2O at the GGA-PBE level of DFT.

```
InBr2O
1.0
-0.469 -1.005 3.709
3.820 -5.947 0.642
6.816 3.769 3.632
Br In O
4 2 2
Cartesian
6.598 -3.067 3.832 Br
4.595 -6.096 4.343 Br
2.294 -4.725 3.401 Br
5.460 0.528 4.917 Br
3.811 -2.691 3.799 In
3.838 0.538 2.678 In
4.276 -1.485 2.167 O
2.600 -0.644 4.221 O
```

Raw formation energy: -0.80 eV/atom
Space-group type: P1
Energy relative to the lowest polymorph listed for this composition: 0.0277 eV/atom
N(E_F): 0.000 states/eV per atom


18.
Computed, not measured: an optimized crystal structure of PaCuNi4 at the GGA-PBE level of DFT.

```
PaCuNi4
1.0
-2.963 0.222 3.840
-4.517 -1.754 -0.314
-1.199 -4.059 2.379
Pa Ni Cu
1 4 1
Cartesian
-2.170 -1.397 1.476 Pa
-5.434 -3.500 3.697 Ni
-4.829 -1.453 2.497 Ni
-3.156 -2.615 3.856 Ni
-3.940 -3.612 1.760 Ni
0.000 0.000 0.000 Cu
```

Space-group type: F-43m
Formation enthalpy at 0 K: -0.40 eV per atom
N(E_F): 0.343 states/eV per atom


19.
Computed, not measured: an optimized crystal structure of DyYMgTc at the GGA-PBE level of DFT.

```
DyYMgTc
1.0
-2.550 -4.333 -0.354
2.231 -4.087 -1.930
1.188 -3.875 2.996
Mg Y Dy Tc
1 1 1 1
Cartesian
0.000 0.000 0.000 Mg
0.652 -9.221 0.534 Y
0.217 -3.074 0.178 Dy
0.434 -6.147 0.356 Tc
```

Space-group type: F-43m
Formation enthalpy at 0 K: -0.01 eV per atom
N(E_F): 0.638 states/eV per atom


20.
Computed, not measured: an optimized crystal structure of LiZrIn at the GGA-PBE level of DFT.

```
LiZrIn
1.0
-8.423 1.853 6.280
-4.171 3.519 -0.094
2.149 -4.434 -2.349
Zr In Li
2 2 2
Cartesian
-3.104 -2.635 1.327 Zr
-7.342 3.574 2.511 Zr
-5.913 -1.280 3.145 In
-4.533 2.218 0.693 In
-2.368 0.397 -0.418 Li
-8.078 0.541 4.256 Li
```

Space-group type: C2/m
Energy relative to the lowest polymorph listed for this composition: 0.0503 eV/atom
Formation enthalpy at 0 K: -0.17 eV per atom
N(E_F): 0.792 states/eV per atom


21.
Computed, not measured: an optimized crystal structure of Tb4SiS2Br at the GGA-PBE level of DFT.

```
Tb4SiS2Br
1.0
-3.221 -1.897 1.454
3.292 -0.941 6.065
-1.358 5.555 4.239
Br S Tb Si
1 2 4 1
Cartesian
0.036 -1.419 3.759 Br
-1.358 5.555 4.239 S
-2.289 1.829 2.846 S
0.525 -0.178 6.462 Tb
-1.812 2.895 5.295 Tb
1.579 3.254 7.744 Tb
-2.866 -0.538 4.014 Tb
0.967 2.307 5.152 Si
```

Raw formation energy: -1.50 eV/atom
Space-group type: P2/m
N(E_F): 0.409 states/eV per atom


22.
Computed, not measured: an optimized crystal structure of InFe4Ru at the GGA-PBE level of DFT.

```
InFe4Ru
1.0
-0.618 -3.675 3.112
-3.497 0.226 3.360
-3.906 -2.860 -0.365
Fe Ru In
4 1 1
Cartesian
-3.007 -2.365 2.289 Fe
-3.316 -4.204 3.846 Fe
-4.962 -3.796 2.107 Fe
-4.757 -2.252 3.971 Fe
0.000 0.000 0.000 Ru
-6.016 -4.731 4.580 In
```

Space-group type: F-43m
Formation enthalpy at 0 K: 0.12 eV per atom
N(E_F): 0.759 states/eV per atom


23.
Computed, not measured: an optimized crystal structure of PrHoZr2 at the GGA-PBE level of DFT.

```
PrHoZr2
1.0
-0.965 -0.738 -4.683
4.329 -1.877 -0.597
-1.726 -4.310 1.035
Zr Pr Ho
2 1 1
Cartesian
-0.863 -2.155 0.517 Zr
2.165 -0.938 -0.298 Zr
0.819 -3.462 -2.122 Pr
-0.483 -0.369 -2.342 Ho
```

Space-group type: P4/mmm
Energy relative to the lowest polymorph listed for this composition: 0.0000 eV/atom
Formation enthalpy at 0 K: 0.17 eV per atom
N(E_F): 1.101 states/eV per atom


24.
Computed, not measured: an optimized crystal structure of Na4Hg7Pb at the GGA-PBE level of DFT.

```
Na4Hg7Pb
1.0
6.486 0.545 0.272
3.323 6.707 1.693
-1.526 -0.342 7.451
Hg Na Pb
7 4 1
Cartesian
3.243 0.272 0.136 Hg
1.737 4.415 3.682 Hg
3.293 3.457 1.042 Hg
4.685 1.330 3.074 Hg
6.546 2.494 5.734 Hg
3.598 5.580 6.342 Hg
4.990 3.452 8.374 Hg
6.796 5.597 6.695 Na
1.486 1.313 2.721 Na
3.224 2.391 5.785 Na
5.059 4.518 3.631 Na
0.000 0.000 0.000 Pb
```

Space-group type: P-1
Formation enthalpy at 0 K: -0.18 eV per atom
N(E_F): 0.372 states/eV per atom